Entry 1:
The following is a PBE-GGA calculation of NaDy2YTe4 after structural relaxation, from Alexandria via LeMat-Bulk.

Mass density = 6.6 g/cm3
Uncorrected energy = -5.00 eV per atom
Raw formation energy = -1.311 eV/atom
Space-group type = P2/m

Geometry as extended XYZ:
```
8
Lattice="-1.2023 -2.3366 3.4688 -0.3130 -6.2708 -4.3326 7.0304 0.6619 2.8827" Properties=species:S:1:pos:R:3 pbc="T T T"
Y -0.7577 -4.3037 -0.4319
Te 1.5277 -4.5402 -2.5288
Te 4.4137 -5.3600 0.6491
Te 5.1897 -1.0687 1.0789
Te 1.1013 -2.5855 1.3699
Dy 3.3587 -2.8045 -0.7249
Dy 2.9141 -0.8373 3.1758
Na 0.0000 0.0000 0.0000
```

Entry 2:
The following is a PBE-GGA calculation of Na3Dy3ZrTe8 after structural relaxation, from Alexandria via LeMat-Bulk.

Mass density = 5.5 g/cm3
Uncorrected energy = -4.64 eV per atom
Raw formation energy = -1.209 eV/atom
Space-group type = R-3m

Geometry as extended XYZ:
```
15
Lattice="-6.5090 -5.7387 0.5659 6.3089 0.0229 5.9845 -6.0697 6.8898 0.0534" Properties=species:S:1:pos:R:3 pbc="T T T"
Na 0.0000 0.0000 0.0000
Na -0.1000 -2.8579 3.2752
Na 3.1545 0.0115 2.9923
Te -6.5827 -2.4868 0.5122
Te -3.3128 -2.4748 3.6132
Te -6.2102 0.7891 3.3866
Te -3.0608 0.6863 6.3849
Te -3.2090 0.4877 0.2189
Te 0.3129 3.6607 6.0916
Te -0.0596 0.3849 3.2172
Te -2.9570 3.6488 2.9906
Dy -3.1349 0.5870 3.3019
Dy -6.2894 0.5755 0.3096
Dy 0.1196 3.4563 3.0190
Zr -3.0349 3.4449 0.0267
```

Entry 3:
The following is a PBE-GGA calculation of Na3DyZr2Te6 after structural relaxation, from Alexandria via LeMat-Bulk.

Mass density = 5.5 g/cm3
Uncorrected energy = -4.73 eV per atom
Raw formation energy = -1.024 eV/atom
Space-group type = C2/m

Geometry as extended XYZ:
```
12
Lattice="7.2734 -0.0057 -0.0027 -3.6399 6.2971 -0.0027 -1.2144 -2.1027 7.7613" Properties=species:S:1:pos:R:3 pbc="T T T"
Na 4.9004 -0.0372 3.8779
Na -2.4812 4.2259 3.8779
Na 1.2096 2.0944 3.8779
Te 2.3792 4.1195 1.7575
Te 3.6716 2.0183 5.9810
Te 0.0400 0.0692 5.9983
Te -0.0868 4.1889 5.9810
Te -1.2525 2.1705 1.7748
Te 2.5059 -0.0002 1.7748
Dy 0.0000 0.0000 0.0000
Zr -0.0170 4.2047 -0.0027
Zr 3.6505 2.0867 -0.0027
```

Entry 4:
The following is a PBE-GGA calculation of Na2DyZrTe4 after structural relaxation, from Alexandria via LeMat-Bulk.

Mass density = 5.6 g/cm3
Uncorrected energy = -4.63 eV per atom
Raw formation energy = -1.089 eV/atom
Space-group type = P2/m

Geometry as extended XYZ:
```
8
Lattice="4.2401 0.0000 0.0000 0.0000 7.4104 0.1480 0.0000 -2.5822 7.6404" Properties=species:S:1:pos:R:3 pbc="T T T"
Te 0.0000 4.8444 1.8395
Te 2.1201 1.2821 1.8082
Te 0.0000 -0.0162 5.9490
Te 2.1201 3.5461 5.9802
Na 0.0000 2.4141 3.8942
Na 2.1201 -1.2911 3.8202
Zr 2.1201 3.7052 0.0740
Dy 0.0000 0.0000 0.0000
```